# 1
DFT (PBE-GGA) results for a relaxed KNd2RhO5 crystal.

Cell lengths 6.8637, 6.8637, 5.8682 Å; angles 90.00, 90.00, 90.00 degrees
Closest atoms and distances in Å follow each position.
Atoms (fractional coordinates):
K (0.0000, 0.0000, 0.0000)  10 O 2.93-3.06
K (0.5000, 0.5000, 0.0000)  10 O 2.93-3.06
Nd (0.1774, 0.3226, 0.5000)  8 O 2.34-2.60
Nd (0.3226, 0.8226, 0.5000)  8 O 2.34-2.60
Nd (0.6774, 0.1774, 0.5000)  8 O 2.34-2.60
Nd (0.8226, 0.6774, 0.5000)  8 O 2.34-2.60
Rh (0.0000, 0.5000, 0.0000)  4 O 1.97
Rh (0.5000, 0.0000, 0.0000)  4 O 1.97
O (0.0000, 0.0000, 0.5000)  4 Nd 2.53
O (0.1334, 0.6334, 0.2519)  1 Rh 1.97
O (0.1334, 0.6334, 0.7481)  1 Rh 1.97
O (0.3666, 0.1334, 0.2519)  1 Rh 1.97
O (0.3666, 0.1334, 0.7481)  1 Rh 1.97
O (0.5000, 0.5000, 0.5000)  4 Nd 2.53
O (0.6334, 0.8666, 0.2519)  1 Rh 1.97
O (0.6334, 0.8666, 0.7481)  1 Rh 1.97
O (0.8666, 0.3666, 0.2519)  1 Rh 1.97
O (0.8666, 0.3666, 0.7481)  1 Rh 1.97

Computed properties:
Size of the total moment = 0.22 μB/atom
Formation energy from raw total energies = -2245 meV/atom
Space-group type = No. 127

=====

# 2
DFT (PBE-GGA) results for a relaxed CaZnCdAu2 crystal.

Cell lengths 7.1849, 7.1849, 7.1849 Å; angles 146.89, 146.89, 47.53 degrees
Closest atoms and distances in Å follow each position.
Atoms (fractional coordinates):
Ca (0.0000, 0.0000, 0.0000)  8 Au 3.20
Zn (0.7500, 0.2500, 0.5000)  4 Au 2.81, 4 Cd 2.90
Cd (0.2500, 0.7500, 0.5000)  4 Au 2.81, 4 Zn 2.90
Au (0.3958, 0.3958, 0.0000)  1 Au 2.74, 2 Zn 2.81, 2 Cd 2.81
Au (0.6042, 0.6042, 0.0000)  1 Au 2.74, 2 Cd 2.81, 2 Zn 2.81

Computed properties:
Size of the total moment = 0.00 μB/atom
Formation energy from the elements = -467 meV per atom
Space-group type = No. 119

=====

# 3
DFT (PBE-GGA) results for a relaxed Cr7As6 crystal.

Cell lengths 9.7339, 9.7339, 9.7339 Å; angles 29.64, 29.64, 29.64 degrees
Closest atoms and distances in Å follow each position.
Atoms (fractional coordinates):
Cr (0.0000, 0.0000, 0.0000)  6 As 2.94, 6 Cr 2.95
Cr (0.0691, 0.0691, 0.5822)  4 Cr 2.42-2.55, 5 As 2.48-2.51
Cr (0.0691, 0.5822, 0.0691)  4 Cr 2.42-2.55, 5 As 2.48-2.51
Cr (0.4178, 0.9309, 0.9309)  4 Cr 2.42-2.55, 5 As 2.48-2.51
Cr (0.5822, 0.0691, 0.0691)  4 Cr 2.42-2.55, 5 As 2.48-2.51
Cr (0.9309, 0.4178, 0.9309)  4 Cr 2.42-2.55, 5 As 2.48-2.51
Cr (0.9309, 0.9309, 0.4178)  4 Cr 2.42-2.55, 5 As 2.48-2.51
As (0.1678, 0.1678, 0.1678)  6 Cr 2.50-2.51
As (0.3115, 0.3115, 0.3115)  3 Cr 2.48
As (0.4158, 0.4158, 0.4158)  6 Cr 2.51
As (0.5842, 0.5842, 0.5842)  6 Cr 2.51
As (0.6885, 0.6885, 0.6885)  3 Cr 2.48
As (0.8322, 0.8322, 0.8322)  6 Cr 2.50-2.51

Computed properties:
Size of the total moment = 0.27 μB/atom
Formation energy from the elements = 63 meV per atom
Space-group type = No. 166